Entry 1:
Entry from Alexandria via LeMat-Bulk: an optimized crystal structure of Fe3Ni4 (PBE).

Cell lengths 2.940, 2.940, 18.489 Å; angles 90.00, 90.00, 90.00 degrees
Fractional coordinates of all 14 atoms:
Fe 0.000 0.000 0.000
Fe 0.000 0.000 0.289
Fe 0.000 0.000 0.711
Fe 0.500 0.500 0.211
Fe 0.500 0.500 0.500
Fe 0.500 0.500 0.789
Ni 0.000 0.000 0.143
Ni 0.000 0.000 0.430
Ni 0.000 0.000 0.570
Ni 0.000 0.000 0.857
Ni 0.500 0.500 0.070
Ni 0.500 0.500 0.357
Ni 0.500 0.500 0.643
Ni 0.500 0.500 0.930

## Properties
* energy of formation from the pure elements: 0.0045 eV/atom
* E above lowest polymorph: 64.0 meV/atom
* symmetry: No. 139

***

Entry 2:
Entry from Alexandria via LeMat-Bulk: an optimized crystal structure of Tb2HoPaTc2 (PBE).

Cell lengths 8.386, 8.386, 8.386 Å; angles 133.16, 68.07, 133.59 degrees
Fractional coordinates of all 12 atoms:
Tb 0.190 0.237 0.427
Tb 0.310 0.737 0.047
Tb 0.690 0.263 0.953
Tb 0.810 0.763 0.573
Ho 0.250 0.750 0.500
Ho 0.750 0.250 0.500
Pa 0.250 0.250 0.000
Pa 0.750 0.750 0.000
Tc 0.106 0.796 0.902
Tc 0.394 0.296 0.690
Tc 0.606 0.704 0.310
Tc 0.894 0.204 0.098

## Properties
* energy of formation from the pure elements: -0.0594 eV/atom
* symmetry: No. 72

***

Entry 3:
Entry from Alexandria via LeMat-Bulk: an optimized crystal structure of TbHoTm2S4 (PBE).

Cell lengths 6.717, 3.836, 6.746 Å; angles 90.00, 109.01, 90.00 degrees
Fractional coordinates of all 8 atoms:
Tb 0.000 0.000 0.000
Ho 0.500 0.500 0.000
Tm 0.000 0.500 0.500
Tm 0.500 0.000 0.500
S 0.250 0.000 0.744
S 0.254 0.500 0.257
S 0.746 0.500 0.743
S 0.750 0.000 0.256

## Properties
* ΔE_f (raw): -1.96 eV/atom
* symmetry: No. 10

***

Entry 4:
Entry from Alexandria via LeMat-Bulk: an optimized crystal structure of KSc2S (PBE).

Cell lengths 6.478, 6.478, 15.083 Å; angles 90.00, 90.00, 90.00 degrees
Fractional coordinates of all 16 atoms:
K 0.000 0.250 0.375
K 0.000 0.750 0.625
K 0.500 0.250 0.125
K 0.500 0.750 0.875
Sc 0.000 0.000 0.000
Sc 0.000 0.500 0.000
Sc 0.250 0.250 0.750
Sc 0.250 0.750 0.250
Sc 0.500 0.000 0.500
Sc 0.500 0.500 0.500
Sc 0.750 0.250 0.750
Sc 0.750 0.750 0.250
S 0.000 0.250 0.875
S 0.000 0.750 0.125
S 0.500 0.250 0.625
S 0.500 0.750 0.375

## Properties
* ΔE_f (raw): -0.16 eV/atom
* symmetry: No. 141

***

Entry 5:
Entry from Alexandria via LeMat-Bulk: an optimized crystal structure of MnInPb (PBE).

Cell lengths 3.343, 3.343, 7.302 Å; angles 90.00, 90.00, 120.00 degrees
Fractional coordinates of all 3 atoms:
Mn 0.000 0.000 0.000
In 0.333 0.667 0.708
Pb 0.667 0.333 0.315

## Properties
* energy of formation from the pure elements: 0.3543 eV/atom
* E above lowest polymorph: 75.8 meV/atom
* symmetry: No. 156

***

Entry 6:
Entry from Alexandria via LeMat-Bulk: an optimized crystal structure of SrTeF (PBE).

Cell lengths 6.754, 6.754, 6.197 Å; angles 90.00, 90.00, 120.00 degrees
Fractional coordinates of all 9 atoms:
Sr 0.000 0.000 0.000
Sr 0.333 0.667 0.500
Sr 0.667 0.333 0.500
Te 0.000 0.479 0.000
Te 0.479 0.000 0.000
Te 0.521 0.521 0.000
F 0.000 0.700 0.500
F 0.300 0.300 0.500
F 0.700 0.000 0.500

## Properties
* E above lowest polymorph: 14.9 meV/atom
* ΔE_f (raw): -2.27 eV/atom
* symmetry: No. 189

***

Entry 7:
Entry from Alexandria via LeMat-Bulk: an optimized crystal structure of BeAl2Os (PBE).

Cell lengths 3.040, 3.836, 4.946 Å; angles 90.00, 107.51, 90.00 degrees
Fractional coordinates of all 4 atoms:
Be 0.000 0.000 0.000
Al 0.412 0.500 0.811
Al 0.727 0.000 0.455
Os 0.132 0.500 0.259

## Properties
* energy of formation from the pure elements: -0.2275 eV/atom
* symmetry: No. 6